(1)
Material: La3Be
Method: DFT, PBEsol
State: relaxed

```
La3Be
1.0
-1.442 0.451 3.293
4.584 -2.009 2.283
2.072 5.091 0.209
Be La
1 3
direct
0.000 0.000 0.000 Be
0.500 0.000 0.500 La
0.500 0.500 0.000 La
0.000 0.500 0.500 La
```

Summary:
As for the space-group type: Cmmm.

---

(2)
Material: La2Be
Method: DFT, PBEsol
State: relaxed

```
La2Be
1.0
4.905 0.000 0.000
2.453 4.248 0.000
2.453 1.416 4.005
Be La
1 2
direct
0.000 0.000 0.000 Be
0.750 0.750 0.750 La
0.250 0.250 0.250 La
```

Summary:
As for the space-group type: Fm-3m.

---

no.,DFT total energy (eV/atom),energy above the lowest structure with this stoichiometry (meV/atom),formation enthalpy at 0 K (meV per atom)
1,-4.7209,53,289
2,-4.5809,93,317